No. 1
# Co2B2Pd

A relaxed Co2B2Pd crystal (PBE, Alexandria).

Computed properties:
As for the crystal system: tetragonal. The value obtained for the density of states at the Fermi level is 7.2 states/eV per cell. The energy above the most stable polymorph in this dataset is 0 meV/atom. Its energy of formation from the pure elements is -0.080 eV per atom.

```
data_Co2B2Pd
_space_group_name_H-M_alt 'P 4/m b m'
_space_group_IT_number 127
_space_group_name_Hall '-P 4 2ab'
_cell_length_a 5.655
_cell_length_b 5.655
_cell_length_c 2.951
_cell_angle_alpha 90.00
_cell_angle_beta 90.00
_cell_angle_gamma 90.00
loop_
_atom_site_label
_atom_site_type_symbol
_atom_site_fract_x
_atom_site_fract_y
_atom_site_fract_z
_atom_site_occupancy
Co1 Co 0.153 0.347 0.000 1
B1 B 0.114 0.614 0.500 1
Pd1 Pd 0.000 0.000 0.500 1
```

No. 2
# Li2RhBr

A relaxed Li2RhBr crystal (PBE, Alexandria).

Computed properties:
As for the crystal system: monoclinic. The value obtained for the density of states at the Fermi level is 3.1 states/eV per cell. The energy above the most stable polymorph in this dataset is 190 meV/atom. Its formation energy (no corrections) is -199 meV per atom.

```
data_Li2RhBr
_space_group_name_H-M_alt 'C 1 2/m 1'
_space_group_IT_number 12
_space_group_name_Hall '-C 2y'
_cell_length_a 8.167
_cell_length_b 3.244
_cell_length_c 4.964
_cell_angle_alpha 90.00
_cell_angle_beta 103.95
_cell_angle_gamma 90.00
loop_
_atom_site_label
_atom_site_type_symbol
_atom_site_fract_x
_atom_site_fract_y
_atom_site_fract_z
_atom_site_occupancy
Li1 Li 0.250 0.000 0.233 1
Rh1 Rh 0.000 0.500 0.000 1
Br1 Br 0.000 0.000 0.500 1
```

No. 3
# AgBPt2Pb

A relaxed AgBPt2Pb crystal (PBE, Alexandria).

Computed properties:
As for the crystal system: tetragonal. The value obtained for the density of states at the Fermi level is 2.6 states/eV per cell. Its energy of formation from the pure elements is 0.007 eV per atom.

```
data_AgBPt2Pb
_space_group_name_H-M_alt 'P 4/m m m'
_space_group_IT_number 123
_space_group_name_Hall '-P 4 2'
_cell_length_a 4.264
_cell_length_b 4.264
_cell_length_c 4.793
_cell_angle_alpha 90.00
_cell_angle_beta 90.00
_cell_angle_gamma 90.00
loop_
_atom_site_label
_atom_site_type_symbol
_atom_site_fract_x
_atom_site_fract_y
_atom_site_fract_z
_atom_site_occupancy
Ag1 Ag 0.000 0.000 0.000 1
B1 B 0.000 0.000 0.500 1
Pt1 Pt 0.000 0.500 0.500 1
Pb1 Pb 0.500 0.500 0.000 1
```

No. 4
# Pm2TeO5

A relaxed Pm2TeO5 crystal (PBE, Alexandria).

Computed properties:
As for the crystal system: triclinic. The value obtained for the density of states at the Fermi level is 0.0 states/eV per cell. The energy above the most stable polymorph in this dataset is 146 meV/atom. Its formation energy (no corrections) is -2373 meV per atom.

```
data_Pm2TeO5
_space_group_name_H-M_alt 'P 1'
_space_group_IT_number 1
_space_group_name_Hall 'P 1'
_cell_length_a 4.298
_cell_length_b 5.793
_cell_length_c 6.572
_cell_angle_alpha 115.74
_cell_angle_beta 97.73
_cell_angle_gamma 94.45
loop_
_atom_site_label
_atom_site_type_symbol
_atom_site_fract_x
_atom_site_fract_y
_atom_site_fract_z
_atom_site_occupancy
Pm1 Pm 0.000 0.000 0.000 1
Pm2 Pm 0.484 0.207 0.509 1
Te1 Te 0.624 0.540 0.116 1
O1 O 0.333 0.783 0.144 1
O2 O 0.349 0.397 0.268 1
O3 O 0.501 0.159 0.865 1
O4 O 0.702 0.593 0.831 1
O5 O 0.931 0.103 0.363 1
```

No. 5
# Ho4SeS3

A relaxed Ho4SeS3 crystal (PBE, Alexandria).

Computed properties:
As for the crystal system: trigonal. The value obtained for the density of states at the Fermi level is 9.0 states/eV per cell. The energy above the most stable polymorph in this dataset is 0 meV/atom. Its formation energy (no corrections) is -1915 meV per atom.

```
data_Ho4SeS3
_space_group_name_H-M_alt 'R -3 m'
_space_group_IT_number 166
_space_group_name_Hall '-R 3 2"'
_cell_length_a 3.9225
_cell_length_b 3.9225
_cell_length_c 38.6394
_cell_angle_alpha 90.00
_cell_angle_beta 90.00
_cell_angle_gamma 120.00
loop_
_atom_site_label
_atom_site_type_symbol
_atom_site_fract_x
_atom_site_fract_y
_atom_site_fract_z
_atom_site_occupancy
Ho1 Ho 0.0000 0.0000 0.1194 1
Ho2 Ho 0.0000 0.0000 0.3754 1
Se1 Se 0.0000 0.0000 0.5000 1
S1 S 0.0000 0.0000 0.0000 1
S2 S 0.0000 0.0000 0.2522 1
```

No. 6
# BaAcP

A relaxed BaAcP crystal (PBE, Alexandria).

Computed properties:
As for the crystal system: trigonal. The value obtained for the density of states at the Fermi level is 3.4 states/eV per cell. The energy above the most stable polymorph in this dataset is 0 meV/atom. Its energy of formation from the pure elements is -0.813 eV per atom.

```
data_BaAcP
_space_group_name_H-M_alt 'P 3 m 1'
_space_group_IT_number 156
_space_group_name_Hall 'P 3 -2"'
_cell_length_a 4.4303
_cell_length_b 4.4303
_cell_length_c 7.6640
_cell_angle_alpha 90.00
_cell_angle_beta 90.00
_cell_angle_gamma 120.00
loop_
_atom_site_label
_atom_site_type_symbol
_atom_site_fract_x
_atom_site_fract_y
_atom_site_fract_z
_atom_site_occupancy
Ba1 Ba 0.0000 0.0000 0.0000 1
Ac1 Ac 0.6667 0.3333 0.4638 1
P1 P 0.3333 0.6667 0.2577 1
```

No. 7
# SmHoZnTc

A relaxed SmHoZnTc crystal (PBE, Alexandria).

Computed properties:
As for the crystal system: cubic. The value obtained for the density of states at the Fermi level is 7.6 states/eV per cell. Its energy of formation from the pure elements is -0.110 eV per atom.

```
data_SmHoZnTc
_space_group_name_H-M_alt 'F -4 3 m'
_space_group_IT_number 216
_space_group_name_Hall 'F -4 2 3'
_cell_length_a 7.021
_cell_length_b 7.021
_cell_length_c 7.021
_cell_angle_alpha 90.00
_cell_angle_beta 90.00
_cell_angle_gamma 90.00
loop_
_atom_site_label
_atom_site_type_symbol
_atom_site_fract_x
_atom_site_fract_y
_atom_site_fract_z
_atom_site_occupancy
Sm1 Sm 0.000 0.000 0.000 1
Ho1 Ho 0.000 0.000 0.500 1
Zn1 Zn 0.250 0.250 0.250 1
Tc1 Tc 0.250 0.250 0.750 1
```

No. 8
# Tm5Mg4Zr

A relaxed Tm5Mg4Zr crystal (PBE, Alexandria).

Computed properties:
As for the crystal system: tetragonal. The value obtained for the density of states at the Fermi level is 9.6 states/eV per cell. Its energy of formation from the pure elements is -0.032 eV per atom.

```
data_Tm5Mg4Zr
_space_group_name_H-M_alt 'P 4/m m m'
_space_group_IT_number 123
_space_group_name_Hall '-P 4 2'
_cell_length_a 3.526
_cell_length_b 3.526
_cell_length_c 21.365
_cell_angle_alpha 90.00
_cell_angle_beta 90.00
_cell_angle_gamma 90.00
loop_
_atom_site_label
_atom_site_type_symbol
_atom_site_fract_x
_atom_site_fract_y
_atom_site_fract_z
_atom_site_occupancy
Tm1 Tm 0.000 0.000 0.000 1
Tm2 Tm 0.000 0.000 0.194 1
Tm3 Tm 0.000 0.000 0.399 1
Mg1 Mg 0.500 0.500 0.097 1
Mg2 Mg 0.500 0.500 0.293 1
Zr1 Zr 0.500 0.500 0.500 1
```